w | A relaxed structure of LiNiAgTe. Source: OQMD via LeMat-Bulk, functional PBE-GGA.

POSCAR file:
```
LiNiAgTe
1.0
0.000 3.247 3.247
3.247 0.000 3.247
3.247 3.247 0.000
Li Ni Ag Te
1 1 1 1
direct
0.000 0.000 0.000
0.250 0.250 0.250
0.750 0.750 0.750
0.500 0.500 0.500
```

Values from the calculation:
**Volume**: 17.1 A^3/atom
**Crystal system**: cubic

x | A relaxed structure of LiNiAgTe. Source: OQMD via LeMat-Bulk, functional PBE-GGA.

POSCAR file:
```
LiNiAgTe
1.0
0.000 3.202 3.202
3.202 0.000 3.202
3.202 3.202 0.000
Li Ni Ag Te
1 1 1 1
direct
0.000 0.000 0.000
0.500 0.500 0.500
0.250 0.250 0.250
0.750 0.750 0.750
```

Values from the calculation:
**Volume**: 16.4 A^3/atom
**Crystal system**: cubic

Which of them is most stable, and which least? Most stable: x; least stable: w.

w | A relaxed structure of LiNiAgW. Source: OQMD via LeMat-Bulk, functional PBE-GGA.

POSCAR file:
```
LiNiAgW
1.0
0.000 2.991 2.991
2.991 0.000 2.991
2.991 2.991 0.000
Li Ni Ag W
1 1 1 1
direct
0.000 0.000 0.000
0.500 0.500 0.500
0.250 0.250 0.250
0.750 0.750 0.750
```

Values from the calculation:
**Volume**: 13.4 A^3/atom
**Crystal system**: cubic

x | A relaxed structure of LiNiAgW. Source: OQMD via LeMat-Bulk, functional PBE-GGA.

POSCAR file:
```
LiNiAgW
1.0
0.000 3.055 3.055
3.055 0.000 3.055
3.055 3.055 0.000
Li Ni Ag W
1 1 1 1
direct
0.000 0.000 0.000
0.250 0.250 0.250
0.750 0.750 0.750
0.500 0.500 0.500
```

Values from the calculation:
**Volume**: 14.3 A^3/atom
**Crystal system**: cubic

Which of them is most stable, and which least? Most stable: w; least stable: x.

w | A relaxed structure of Li3AgO4. Source: OQMD via LeMat-Bulk, functional PBE-GGA.

POSCAR file:
```
Li3AgO4
1.0
5.051 0.000 0.000
0.000 5.919 0.000
-1.743 0.000 4.856
Li Ag O
6 2 8
direct
0.000 0.106 0.250
0.000 0.357 0.750
0.000 0.643 0.250
0.000 0.894 0.750
0.500 0.111 0.750
0.500 0.889 0.250
0.500 0.369 0.250
0.500 0.631 0.750
0.249 0.134 0.013
0.249 0.866 0.513
0.259 0.381 0.496
0.259 0.619 0.996
0.741 0.381 0.004
0.741 0.619 0.504
0.751 0.134 0.487
0.751 0.866 0.987
```

Values from the calculation:
**Volume**: 9.1 A^3/atom
**Crystal system**: monoclinic

x | A relaxed structure of Li3AgO4. Source: OQMD via LeMat-Bulk, functional PBE-GGA.

POSCAR file:
```
Li3AgO4
1.0
5.093 0.000 0.000
0.000 11.918 0.000
-1.806 0.000 4.868
Li Ag O
12 4 16
direct
0.000 0.000 0.000
0.000 0.113 0.500
0.000 0.225 0.000
0.000 0.348 0.500
0.000 0.491 0.000
0.000 0.631 0.500
0.000 0.759 0.000
0.000 0.885 0.500
0.500 0.117 0.000
0.500 0.230 0.500
0.500 0.756 0.500
0.500 0.999 0.500
0.500 0.360 0.000
0.500 0.493 0.500
0.500 0.623 0.000
0.500 0.876 0.000
0.232 0.492 0.769
0.235 0.118 0.268
0.245 0.748 0.755
0.247 0.243 0.764
0.258 0.993 0.760
0.261 0.872 0.240
0.268 0.368 0.252
0.268 0.618 0.248
0.732 0.368 0.748
0.732 0.618 0.752
0.739 0.872 0.760
0.742 0.993 0.240
0.753 0.243 0.236
0.755 0.748 0.245
0.765 0.118 0.732
0.768 0.492 0.231
```

Values from the calculation:
**Volume**: 9.2 A^3/atom
**Crystal system**: monoclinic

y | A relaxed structure of Li3AgO4. Source: OQMD via LeMat-Bulk, functional PBE-GGA.

POSCAR file:
```
Li3AgO4
1.0
4.788 -1.519 0.000
4.788 1.519 0.000
-0.946 0.000 4.986
Li Ag O
3 1 4
direct
0.000 0.000 0.000
0.246 0.246 0.776
0.754 0.754 0.224
0.500 0.500 0.500
0.122 0.122 0.384
0.374 0.374 0.135
0.626 0.626 0.865
0.878 0.878 0.616
```

Values from the calculation:
**Volume**: 9.1 A^3/atom
**Crystal system**: monoclinic

Which of them is most stable, and which least? Most stable: w; least stable: x.